[1]
Rb2PSe2F4 | GGA-PBE | relaxed

The total energy comes out at -75.0 eV per cell. The spin magnetization comes out at 0.116 μB/atom. The calculated density is 3.56 g/cm³. As for the volume: 406.2 Å³/cell. For the uncorrected formation energy, the calculation gives -15.716 eV per formula unit.

The space group is I4/mmm (No. 139) and the conventional cell measures 7.0672, 7.0672 and 8.1336 Å, with angles of 90.00, 90.00 and 90.00 degrees. Symmetry generates all atoms from Rb at (0.0000, 0.5000, 0.2500), P at (0.0000, 0.0000, 0.0000), Se at (0.0000, 0.0000, 0.2868) and F at (0.1719, 0.1719, 0.0000).



[2]
Rb2PSeF6 | GGA-PBE | relaxed

The total energy comes out at -176.2 eV per cell. The spin magnetization comes out at 0.100 μB/atom. The calculated density is 2.93 g/cm³. As for the volume: 894.4 Å³/cell. For the uncorrected formation energy, the calculation gives -22.004 eV per formula unit.

The space group is Fm-3m (No. 225) and the conventional cell measures 9.6348, 9.6348 and 9.6348 Å, with angles of 90.00, 90.00 and 90.00 degrees. Symmetry generates all atoms from Rb at (0.2500, 0.2500, 0.2500), P at (0.0000, 0.0000, 0.0000), Se at (0.0000, 0.0000, 0.5000) and F at (0.0000, 0.0000, 0.1703).



[3]
Rb2SnPF6 | GGA-PBE | relaxed

The total energy comes out at -88.2 eV per cell. The spin magnetization comes out at 0.100 μB/atom. The calculated density is 3.46 g/cm³. As for the volume: 416.8 Å³/cell. For the uncorrected formation energy, the calculation gives -21.510 eV per formula unit.

The space group is I4/mmm (No. 139) and the conventional cell measures 6.1613, 6.1613 and 10.9807 Å, with angles of 90.00, 90.00 and 90.00 degrees. Symmetry generates all atoms from Rb at (0.0000, 0.5000, 0.2500), Sn at (0.0000, 0.0000, 0.0000), P at (0.0000, 0.0000, 0.5000), F at (0.0000, 0.0000, 0.2087) and F at (0.2240, 0.2240, 0.5000).



[4]
Rb2TiPF6 | GGA-PBE | relaxed

The total energy comes out at -102.3 eV per cell. The spin magnetization comes out at 0.100 μB/atom. The calculated density is 3.29 g/cm³. As for the volume: 367.6 Å³/cell. For the uncorrected formation energy, the calculation gives -24.678 eV per formula unit.

The space group is I4/mmm (No. 139) and the conventional cell measures 5.7981, 5.7981 and 10.9332 Å, with angles of 90.00, 90.00 and 90.00 degrees. Symmetry generates all atoms from Rb at (0.0000, 0.5000, 0.2500), Ti at (0.0000, 0.0000, 0.0000), P at (0.0000, 0.0000, 0.5000), F at (0.0000, 0.0000, 0.1759) and F at (0.2474, 0.2474, 0.0000).